No. 1
# HfCoAgIr2 | Alexandria via LeMat-Bulk | PBE | optimized geometry
data_HfCoAgIr2
_symmetry_space_group_name_H-M 'P 4/m m m'
_symmetry_Int_Tables_number 123
_symmetry_space_group_name_Hall '-P 4 2'
_cell_length_a 4.527
_cell_length_b 4.527
_cell_length_c 4.520
_cell_angle_alpha 90.00
_cell_angle_beta 90.00
_cell_angle_gamma 90.00
loop_
_atom_site_label
_atom_site_fract_x
_atom_site_fract_y
_atom_site_fract_z
Hf1 0.000 0.000 0.000
Co1 0.000 0.000 0.500
Ag1 0.500 0.500 0.000
Ir1 0.000 0.500 0.500
# - ρ: 13.1 g/cm3
# - Energy of formation from the pure elements: 700.6 meV per atom
# - Uncorrected energy: -6.8259 eV per atom

---

No. 2
# MgSiBr2 | Alexandria via LeMat-Bulk | PBE | optimized geometry
data_MgSiBr2
_symmetry_space_group_name_H-M 'R -3 m'
_symmetry_Int_Tables_number 166
_symmetry_space_group_name_Hall '-R 3 2"'
_cell_length_a 3.5837
_cell_length_b 3.5837
_cell_length_c 34.6190
_cell_angle_alpha 90.00
_cell_angle_beta 90.00
_cell_angle_gamma 120.00
loop_
_atom_site_label
_atom_site_fract_x
_atom_site_fract_y
_atom_site_fract_z
Mg1 0.0000 0.0000 0.0000
Si1 0.0000 0.0000 0.5000
Br1 0.0000 0.0000 0.3800
# - ρ: 2.7 g/cm3
# - Distance to the lowest polymorph of the same formula: 0.03 eV per formula unit
# - Uncorrected energy: -2.9379 eV per atom
# - ΔE_f (raw): -0.347 eV per atom

---

- Look up the ρ of the second one.
  2.7 g/cm3

---

What did the second record say?
# MgSiBr2 | Alexandria via LeMat-Bulk | PBE | optimized geometry
data_MgSiBr2
_symmetry_space_group_name_H-M 'R -3 m'
_symmetry_Int_Tables_number 166
_symmetry_space_group_name_Hall '-R 3 2"'
_cell_length_a 3.5837
_cell_length_b 3.5837
_cell_length_c 34.6190
_cell_angle_alpha 90.00
_cell_angle_beta 90.00
_cell_angle_gamma 120.00
loop_
_atom_site_label
_atom_site_fract_x
_atom_site_fract_y
_atom_site_fract_z
Mg1 0.0000 0.0000 0.0000
Si1 0.0000 0.0000 0.5000
Br1 0.0000 0.0000 0.3800
# - ρ: 2.7 g/cm3
# - Distance to the lowest polymorph of the same formula: 0.03 eV per formula unit
# - Uncorrected energy: -2.9379 eV per atom
# - ΔE_f (raw): -0.347 eV per atom